A relaxed LiMnPO4 crystal, computed with PBE+U.

Unit cell a=9.186 b=5.370 c=8.862 alpha=90.00 beta=90.00 gamma=90.00
Atoms (fractional coordinates):
Li 0.104 0.250 0.117
Li 0.396 0.750 0.617
Li 0.604 0.250 0.383
Li 0.896 0.750 0.883
Mn 0.102 0.750 0.636
Mn 0.398 0.250 0.136
Mn 0.602 0.750 0.864
Mn 0.898 0.250 0.364
P 0.247 0.750 0.967
P 0.253 0.250 0.467
P 0.747 0.750 0.533
P 0.753 0.250 0.033
O 0.105 0.750 0.871
O 0.119 0.250 0.359
O 0.250 0.014 0.567
O 0.250 0.486 0.567
O 0.250 0.514 0.067
O 0.250 0.986 0.067
O 0.381 0.750 0.859
O 0.395 0.250 0.371
O 0.605 0.750 0.629
O 0.619 0.250 0.141
O 0.750 0.014 0.933
O 0.750 0.486 0.933
O 0.750 0.514 0.433
O 0.750 0.986 0.433
O 0.881 0.750 0.641
O 0.895 0.250 0.129

Summary:
- DOS at the Fermi energy (states/eV/atom) = 0.00
- total energy (eV/atom) = -7.129
- crystal system = orthorhombic